Record 1
{"formula": "RbTi3As", "functional": "SCAN", "state": "PBEsol geometry", "energy_ev_per_atom": -17.186, "vol_a3_per_atom": 23.5, "e_form_ev_per_atom": 0.617, "lattice_angstrom": [[4.9012, 0.0000, 0.0000], [0.0000, 4.9012, 0.0000], [0.0000, 0.0000, 4.9012]], "species": ["Rb", "Ti", "Ti", "Ti", "As"], "fractional_positions": [[0.0000, 0.0000, 0.0000], [0.0000, 0.5000, 0.5000], [0.5000, 0.0000, 0.5000], [0.5000, 0.5000, 0.0000], [0.5000, 0.5000, 0.5000]]}

***

Record 2
{"formula": "MnRe2", "functional": "SCAN", "state": "PBEsol geometry", "energy_ev_per_atom": -53.536, "vol_a3_per_atom": 13.7, "e_form_ev_per_atom": -0.053, "lattice_angstrom": [[-1.5242, 1.5242, 4.4152], [1.5242, -1.5242, 4.4152], [1.5242, 1.5242, -4.4152]], "species": ["Mn", "Re", "Re"], "fractional_positions": [[0.0000, 0.0000, 0.0000], [0.3368, 0.3368, 0.0000], [0.6632, 0.6632, 0.0000]]}

***

Record 3
{"formula": "TaBeCo", "functional": "SCAN", "state": "PBEsol geometry", "de_polymorph_mev_per_atom": 0, "energy_ev_per_atom": -29.529, "vol_a3_per_atom": 11.7, "e_form_ev_per_atom": -0.115, "lattice_angstrom": [[-1.4016, 1.4016, 4.4786], [1.4016, -1.4016, 4.4786], [1.4016, 1.4016, -4.4786]], "species": ["Ta", "Be", "Co"], "fractional_positions": [[0.0000, 0.0000, 0.0000], [0.3043, 0.3043, 0.0000], [0.6902, 0.6902, 0.0000]]}

***

Record 4
{"formula": "Ir3Os", "functional": "SCAN", "state": "PBEsol geometry", "energy_ev_per_atom": -71.232, "vol_a3_per_atom": 14.1, "e_form_ev_per_atom": 0.063, "lattice_angstrom": [[2.7260, 0.0000, 0.0000], [-1.3630, 2.3608, 0.0000], [0.0000, 0.0000, 8.7514]], "species": ["Ir", "Ir", "Ir", "Os"], "fractional_positions": [[0.0000, 0.0000, 0.0000], [0.3333, 0.6667, 0.2547], [0.3333, 0.6667, 0.7453], [0.0000, 0.0000, 0.5000]]}

***

Record 5
{"formula": "Zr2TaHg", "functional": "SCAN", "state": "PBEsol geometry", "energy_ev_per_atom": -49.189, "vol_a3_per_atom": 20.2, "e_form_ev_per_atom": -0.153, "lattice_angstrom": [[3.1728, 0.0000, 0.0000], [0.0000, 3.7444, 0.0000], [0.0000, 0.0000, 6.8100]], "species": ["Zr", "Zr", "Ta", "Hg"], "fractional_positions": [[0.0000, 0.0000, 0.2418], [0.0000, 0.0000, 0.7582], [0.5000, 0.5000, 0.0000], [0.5000, 0.5000, 0.5000]]}

***

Record 6
{"formula": "SiPOs", "functional": "SCAN", "state": "PBEsol geometry", "energy_ev_per_atom": -30.187, "vol_a3_per_atom": 14.2, "e_form_raw_ev_per_atom": 0.578, "lattice_angstrom": [[0.0000, 2.7699, 2.7699], [2.7699, 0.0000, 2.7699], [2.7699, 2.7699, 0.0000]], "species": ["Si", "P", "Os"], "fractional_positions": [[0.0000, 0.0000, 0.0000], [0.2500, 0.2500, 0.2500], [0.5000, 0.5000, 0.5000]]}